Record 1
Below is crystalline Ac4PtRh2Au at its relaxed geometry, with properties calculated at the PBE-GGA level.

Unit cell a=4.512 b=7.796 c=14.278 alpha=90.00 beta=90.00 gamma=106.82
Fractional coordinates of all 16 atoms:
1 Ac 0.268 0.536 0.107
2 Ac 0.732 0.464 0.607
3 Ac 0.732 0.464 0.893
4 Ac 0.268 0.536 0.393
5 Ac 0.000 0.000 0.500
6 Ac 0.000 0.000 0.000
7 Ac 0.490 0.980 0.750
8 Ac 0.510 0.020 0.250
9 Pt 0.874 0.747 0.750
10 Pt 0.126 0.253 0.250
11 Rh 0.371 0.743 0.573
12 Rh 0.629 0.257 0.073
13 Rh 0.629 0.257 0.427
14 Rh 0.371 0.743 0.927
15 Au 0.142 0.284 0.750
16 Au 0.858 0.716 0.250

Output
Its energy of formation from the pure elements is -637 meV per atom. The density of states at the Fermi level comes out at 0.59 states/eV/atom. As for the space group: Cmcm (63).

=====

Record 2
Below is crystalline Ac6PtRhAu2 at its relaxed geometry, with properties calculated at the PBE-GGA level.

Unit cell a=7.834 b=7.833 c=8.312 alpha=61.87 beta=61.86 gamma=60.01
Fractional coordinates of all 10 atoms:
1 Ac 0.585 0.212 0.256
2 Ac 0.212 0.946 0.256
3 Ac 0.947 0.585 0.257
4 Ac 0.439 0.707 0.762
5 Ac 0.706 0.092 0.762
6 Ac 0.092 0.440 0.762
7 Pt 0.826 0.826 0.522
8 Rh 0.325 0.325 0.024
9 Au 0.515 0.515 0.456
10 Au 0.014 0.014 0.959

Output
Its energy of formation from the pure elements is -690 meV per atom. The density of states at the Fermi level comes out at 0.81 states/eV/atom. As for the space group: R3 (146).

=====

Record 3
Below is crystalline Ac6Ru2PtAu at its relaxed geometry, with properties calculated at the PBE-GGA level.

Unit cell a=7.608 b=7.612 c=8.244 alpha=62.48 beta=62.50 gamma=59.99
Fractional coordinates of all 10 atoms:
1 Ac 0.606 0.250 0.245
2 Ac 0.250 0.899 0.244
3 Ac 0.899 0.606 0.245
4 Ac 0.382 0.742 0.752
5 Ac 0.742 0.124 0.752
6 Ac 0.124 0.382 0.752
7 Ru 0.511 0.511 0.468
8 Ru 0.007 0.006 0.981
9 Pt 0.322 0.322 0.033
10 Au 0.819 0.819 0.543

Output
Its energy of formation from the pure elements is -464 meV per atom. The density of states at the Fermi level comes out at 0.65 states/eV/atom. As for the space group: R3 (146).

=====

Copy entry 2 word for word.
Below is crystalline Ac6PtRhAu2 at its relaxed geometry, with properties calculated at the PBE-GGA level.

Unit cell a=7.834 b=7.833 c=8.312 alpha=61.87 beta=61.86 gamma=60.01
Fractional coordinates of all 10 atoms:
1 Ac 0.585 0.212 0.256
2 Ac 0.212 0.946 0.256
3 Ac 0.947 0.585 0.257
4 Ac 0.439 0.707 0.762
5 Ac 0.706 0.092 0.762
6 Ac 0.092 0.440 0.762
7 Pt 0.826 0.826 0.522
8 Rh 0.325 0.325 0.024
9 Au 0.515 0.515 0.456
10 Au 0.014 0.014 0.959

Output
Its energy of formation from the pure elements is -690 meV per atom. The density of states at the Fermi level comes out at 0.81 states/eV/atom. As for the space group: R3 (146).

=====

- The highest energy of formation from the pure elements belongs to which entry?
  Ac6Ru2PtAu